# 1
{"formula": "TaMnSn2O8", "functional": "PBE+U", "state": "relaxed", "cell": [[3.3606, -3.3843, 0.0000], [3.3606, 3.3843, 0.0000], [0.0000, 0.0000, 6.2692]], "species": ["Ta", "Mn", "Sn", "Sn", "O", "O", "O", "O", "O", "O", "O", "O"], "frac_coords": [[0.0000, 0.0000, 0.0000], [0.0000, 0.0000, 0.5000], [0.5000, 0.5000, 0.2558], [0.5000, 0.5000, 0.7442], [0.1889, 0.8111, 0.2438], [0.1889, 0.8111, 0.7562], [0.2956, 0.2956, 0.5000], [0.3013, 0.3013, 0.0000], [0.6987, 0.6987, 0.0000], [0.7044, 0.7044, 0.5000], [0.8111, 0.1889, 0.2438], [0.8111, 0.1889, 0.7562]], "e_tot_ev_per_cell": -89.337, "total_magnetization_mub_per_cell": 2.00, "spacegroup": "No. 65", "volume_a3_per_atom": 11.9}



# 2
{"formula": "Tb2MnSnO6", "functional": "PBE+U", "state": "relaxed", "cell": [[2.8298, 1.6338, 4.9093], [-2.8298, 1.6338, 4.9093], [0.0000, -3.2676, 4.9093]], "species": ["Tb", "Tb", "Mn", "Sn", "O", "O", "O", "O", "O", "O"], "frac_coords": [[0.0000, 0.0000, 0.0000], [0.4984, 0.4984, 0.4984], [0.2215, 0.2215, 0.2215], [0.7133, 0.7133, 0.7133], [0.0747, 0.4340, 0.8313], [0.3429, 0.9136, 0.5941], [0.4340, 0.8313, 0.0747], [0.5941, 0.3429, 0.9136], [0.8313, 0.0747, 0.4340], [0.9136, 0.5941, 0.3429]], "e_tot_ev_per_cell": -76.364, "total_magnetization_mub_per_cell": 5.00, "spacegroup": "No. 146", "volume_a3_per_atom": 13.6}



# 3
{"formula": "MnTcSnO6", "functional": "PBE+U", "state": "relaxed", "cell": [[4.7041, 0.0000, 0.0000], [0.0000, 4.7041, 0.0000], [0.0000, 0.0000, 9.6220]], "species": ["Mn", "Mn", "Tc", "Tc", "Sn", "Sn", "O", "O", "O", "O", "O", "O", "O", "O", "O", "O", "O", "O"], "frac_coords": [[0.0000, 0.0000, 0.0000], [0.5000, 0.5000, 0.5000], [0.0000, 0.0000, 0.6661], [0.5000, 0.5000, 0.1661], [0.0000, 0.0000, 0.3343], [0.5000, 0.5000, 0.8343], [0.1914, 0.1914, 0.5095], [0.1922, 0.1922, 0.8237], [0.2152, 0.2152, 0.1707], [0.2848, 0.7152, 0.6707], [0.3078, 0.6922, 0.3237], [0.3086, 0.6914, 0.0095], [0.6914, 0.3086, 0.0095], [0.6922, 0.3078, 0.3237], [0.7152, 0.2848, 0.6707], [0.7848, 0.7848, 0.1707], [0.8078, 0.8078, 0.8237], [0.8086, 0.8086, 0.5095]], "e_tot_ev_per_cell": -129.484, "total_magnetization_mub_per_cell": 8.06, "spacegroup": "No. 102", "volume_a3_per_atom": 11.8}



# 4
{"formula": "MnSnTeO5", "functional": "PBE+U", "state": "relaxed", "cell": [[3.9953, -4.2299, 0.0000], [3.9953, 4.2299, 0.0000], [-3.7230, 0.0000, 7.0896]], "species": ["Mn", "Mn", "Sn", "Sn", "Te", "Te", "O", "O", "O", "O", "O", "O", "O", "O", "O", "O"], "frac_coords": [[0.0435, 0.9565, 0.7500], [0.9565, 0.0435, 0.2500], [0.0000, 0.5000, 0.0000], [0.5000, 0.0000, 0.5000], [0.4261, 0.5739, 0.7500], [0.5739, 0.4261, 0.2500], [0.1627, 0.6542, 0.8455], [0.2131, 0.7869, 0.2500], [0.2444, 0.2514, 0.0064], [0.2514, 0.2444, 0.5064], [0.3458, 0.8373, 0.6545], [0.6542, 0.1627, 0.3455], [0.7486, 0.7556, 0.4936], [0.7556, 0.7486, 0.9936], [0.7869, 0.2131, 0.7500], [0.8373, 0.3458, 0.1545]], "e_tot_ev_per_cell": -99.798, "total_magnetization_mub_per_cell": 10.00, "spacegroup": "No. 15", "volume_a3_per_atom": 15.0}



# 5
{"formula": "MnSn2TeO8", "functional": "PBE+U", "state": "relaxed", "cell": [[3.3857, -3.3928, 0.0000], [3.3857, 3.3928, 0.0000], [0.0000, 0.0000, 6.4963]], "species": ["Mn", "Sn", "Sn", "Te", "O", "O", "O", "O", "O", "O", "O", "O"], "frac_coords": [[0.0000, 0.0000, 0.0000], [0.5000, 0.5000, 0.2449], [0.5000, 0.5000, 0.7551], [0.0000, 0.0000, 0.5000], [0.1898, 0.8102, 0.2745], [0.1898, 0.8102, 0.7255], [0.2981, 0.2981, 0.5000], [0.3068, 0.3068, 0.0000], [0.6932, 0.6932, 0.0000], [0.7019, 0.7019, 0.5000], [0.8102, 0.1898, 0.2745], [0.8102, 0.1898, 0.7255]], "e_tot_ev_per_cell": -75.291, "total_magnetization_mub_per_cell": 4.87, "spacegroup": "No. 65", "volume_a3_per_atom": 12.4}



# 6
{"formula": "Ti3Mn3Sn2O16", "functional": "PBE+U", "state": "relaxed", "cell": [[5.1194, -2.9543, 0.0000], [5.1194, 2.9543, 0.0000], [-0.2232, 0.0000, 9.5106]], "species": ["Ti", "Ti", "Ti", "Mn", "Mn", "Mn", "Sn", "Sn", "O", "O", "O", "O", "O", "O", "O", "O", "O", "O", "O", "O", "O", "O", "O", "O"], "frac_coords": [[0.0000, 0.0000, 0.0000], [0.1699, 0.6674, 0.5007], [0.6674, 0.1699, 0.5007], [0.0075, 0.4995, 0.0031], [0.4995, 0.0075, 0.0031], [0.6681, 0.6681, 0.5029], [0.1744, 0.1744, 0.7245], [0.5120, 0.5120, 0.2222], [0.0068, 0.0068, 0.6051], [0.0076, 0.5142, 0.6098], [0.1689, 0.6811, 0.1078], [0.1785, 0.1785, 0.1066], [0.3210, 0.3210, 0.8896], [0.3237, 0.8802, 0.8829], [0.3618, 0.3618, 0.3785], [0.3652, 0.8017, 0.3843], [0.5101, 0.5101, 0.6082], [0.5142, 0.0076, 0.6098], [0.6811, 0.1689, 0.1078], [0.6829, 0.6829, 0.1096], [0.8017, 0.3652, 0.3843], [0.8342, 0.8342, 0.4037], [0.8339, 0.8339, 0.9032], [0.8802, 0.3237, 0.8829]], "e_tot_ev_per_cell": -180.200, "total_magnetization_mub_per_cell": 8.97, "spacegroup": "No. 8", "volume_a3_per_atom": 12.0}



# 7
{"formula": "TiMnSnO6", "functional": "PBE+U", "state": "relaxed", "cell": [[4.6551, 0.0000, 0.0000], [0.0000, 4.6551, 0.0000], [0.0000, 0.0000, 9.1643]], "species": ["Ti", "Ti", "Mn", "Mn", "Sn", "Sn", "O", "O", "O", "O", "O", "O", "O", "O", "O", "O", "O", "O"], "frac_coords": [[0.0000, 0.0000, 0.0000], [0.5000, 0.5000, 0.5000], [0.0000, 0.0000, 0.6667], [0.5000, 0.5000, 0.1667], [0.0000, 0.0000, 0.3330], [0.5000, 0.5000, 0.8330], [0.1840, 0.1840, 0.8316], [0.1966, 0.1966, 0.5092], [0.2037, 0.2037, 0.1587], [0.2963, 0.7037, 0.6587], [0.3034, 0.6966, 0.0092], [0.3160, 0.6840, 0.3316], [0.6840, 0.3160, 0.3316], [0.6966, 0.3034, 0.0092], [0.7037, 0.2963, 0.6587], [0.7963, 0.7963, 0.1587], [0.8034, 0.8034, 0.5092], [0.8160, 0.8160, 0.8316]], "e_tot_ev_per_cell": -133.282, "total_magnetization_mub_per_cell": 6.00, "spacegroup": "No. 102", "volume_a3_per_atom": 11.0}



# 8
{"formula": "MnTl2SnO4", "functional": "PBE+U", "state": "relaxed", "cell": [[7.0438, 0.0000, 0.0000], [0.0000, 8.5819, 0.0000], [0.0000, 0.0000, 5.6050]], "species": ["Mn", "Mn", "Tl", "Tl", "Tl", "Tl", "Sn", "Sn", "O", "O", "O", "O", "O", "O", "O", "O"], "frac_coords": [[0.0000, 0.1172, 0.0000], [0.5000, 0.8828, 0.5000], [0.2503, 0.3184, 0.5131], [0.2497, 0.6816, 0.0131], [0.7497, 0.3184, 0.5131], [0.7503, 0.6816, 0.0131], [0.0000, 0.8935, 0.4972], [0.5000, 0.1065, 0.9972], [0.0000, 0.1116, 0.6248], [0.0000, 0.8897, 0.1398], [0.2391, 0.7923, 0.6029], [0.2609, 0.2077, 0.1029], [0.5000, 0.1103, 0.6398], [0.5000, 0.8884, 0.1248], [0.7391, 0.2077, 0.1029], [0.7609, 0.7923, 0.6029]], "e_tot_ev_per_cell": -91.307, "total_magnetization_mub_per_cell": 10.00, "spacegroup": "No. 31", "volume_a3_per_atom": 21.2}



# 9
{"formula": "MnTl2SnO6", "functional": "PBE+U", "state": "relaxed", "cell": [[2.8232, 1.6300, 4.9144], [-2.8232, 1.6300, 4.9144], [0.0000, -3.2600, 4.9144]], "species": ["Mn", "Tl", "Tl", "Sn", "O", "O", "O", "O", "O", "O"], "frac_coords": [[0.0000, 0.0000, 0.0000], [0.2757, 0.2757, 0.2757], [0.7780, 0.7780, 0.7780], [0.4944, 0.4944, 0.4944], [0.1246, 0.7021, 0.3750], [0.2198, 0.6141, 0.8586], [0.3750, 0.1246, 0.7021], [0.6141, 0.8586, 0.2198], [0.7021, 0.3750, 0.1246], [0.8586, 0.2198, 0.6141]], "e_tot_ev_per_cell": -57.516, "total_magnetization_mub_per_cell": 4.98, "spacegroup": "No. 146", "volume_a3_per_atom": 13.6}



# 10
{"formula": "Mn2TlSnO6", "functional": "PBE+U", "state": "relaxed", "cell": [[5.3870, 0.0000, 0.0000], [2.6022, 4.7808, 0.0000], [0.0367, 3.0357, 4.9061]], "species": ["Mn", "Mn", "Tl", "Sn", "O", "O", "O", "O", "O", "O"], "frac_coords": [[0.0000, 0.0000, 0.0000], [0.4857, 0.0267, 0.4560], [0.2717, 0.4579, 0.8173], [0.7890, 0.4234, 0.3690], [0.0745, 0.5264, 0.1722], [0.2014, 0.9536, 0.6577], [0.4044, 0.8899, 0.2062], [0.6065, 0.1821, 0.6602], [0.6928, 0.2066, 0.1948], [0.8598, 0.5140, 0.6740]], "e_tot_ev_per_cell": -64.775, "total_magnetization_mub_per_cell": 8.98, "spacegroup": "No. 1", "volume_a3_per_atom": 12.6}



# 11
{"formula": "Tm2MnSnO6", "functional": "PBE+U", "state": "relaxed", "cell": [[2.7882, 1.6098, 4.9254], [-2.7882, 1.6098, 4.9254], [0.0000, -3.2196, 4.9254]], "species": ["Tm", "Tm", "Mn", "Sn", "O", "O", "O", "O", "O", "O"], "frac_coords": [[0.0000, 0.0000, 0.0000], [0.4978, 0.4978, 0.4978], [0.2180, 0.2180, 0.2180], [0.7081, 0.7081, 0.7081], [0.0805, 0.4245, 0.8141], [0.3265, 0.9027, 0.6014], [0.4245, 0.8141, 0.0805], [0.6014, 0.3265, 0.9027], [0.8141, 0.0805, 0.4245], [0.9027, 0.6014, 0.3265]], "e_tot_ev_per_cell": -76.561, "total_magnetization_mub_per_cell": 5.00, "spacegroup": "No. 146", "volume_a3_per_atom": 13.3}



# 12
{"formula": "TmMn2SnO6", "functional": "PBE+U", "state": "relaxed", "cell": [[5.3659, 0.0000, 0.0000], [-2.6771, 4.6549, 0.0000], [-2.6648, -1.5475, 4.8598]], "species": ["Tm", "Mn", "Mn", "Sn", "O", "O", "O", "O", "O", "O"], "frac_coords": [[0.0000, 0.0000, 0.0000], [0.5516, 0.2759, 0.8270], [0.5901, 0.7953, 0.3868], [0.9724, 0.4849, 0.4570], [0.0577, 0.1842, 0.6503], [0.1078, 0.4281, 0.1775], [0.4668, 0.8708, 0.6500], [0.4985, 0.0701, 0.1800], [0.7512, 0.6790, 0.1788], [0.7781, 0.5932, 0.6502]], "e_tot_ev_per_cell": -73.285, "total_magnetization_mub_per_cell": 7.00, "spacegroup": "No. 1", "volume_a3_per_atom": 12.1}



# 13
{"formula": "UMn2SnO8", "functional": "PBE+U", "state": "relaxed", "cell": [[3.2737, -3.3146, 0.0000], [3.2737, 3.3146, 0.0000], [0.0000, 0.0000, 6.7413]], "species": ["U", "Mn", "Mn", "Sn", "O", "O", "O", "O", "O", "O", "O", "O"], "frac_coords": [[0.0000, 0.0000, 0.0000], [0.5000, 0.5000, 0.2660], [0.5000, 0.5000, 0.7340], [0.0000, 0.0000, 0.5000], [0.2062, 0.2062, 0.2511], [0.2062, 0.2062, 0.7489], [0.2999, 0.7001, 0.0000], [0.3030, 0.6970, 0.5000], [0.6970, 0.3030, 0.5000], [0.7001, 0.2999, 0.0000], [0.7938, 0.7938, 0.2511], [0.7938, 0.7938, 0.7489]], "e_tot_ev_per_cell": -93.914, "total_magnetization_mub_per_cell": 8.00, "spacegroup": "No. 65", "volume_a3_per_atom": 12.2}



# 14
{"formula": "Mn2VSnO6", "functional": "PBE+U", "state": "relaxed", "cell": [[5.2534, 0.0000, 0.0000], [2.6200, 4.5707, 0.0000], [0.0093, 3.0248, 4.7215]], "species": ["Mn", "Mn", "V", "Sn", "O", "O", "O", "O", "O", "O"], "frac_coords": [[0.0000, 0.0000, 0.0000], [0.4840, 0.0300, 0.4541], [0.2837, 0.4322, 0.8513], [0.7895, 0.4206, 0.3710], [0.0941, 0.5026, 0.1668], [0.2030, 0.9165, 0.6522], [0.4062, 0.9255, 0.1705], [0.5696, 0.2273, 0.6560], [0.6673, 0.2377, 0.1685], [0.8850, 0.5501, 0.6526]], "e_tot_ev_per_cell": -72.138, "total_magnetization_mub_per_cell": 8.95, "spacegroup": "No. 1", "volume_a3_per_atom": 11.3}



# 15
{"formula": "YMn2SnO", "functional": "PBE+U", "state": "relaxed", "cell": [[5.0419, 0.0000, 0.0000], [0.0000, 5.0419, 0.0000], [0.0000, 0.0000, 5.9105]], "species": ["Y", "Mn", "Mn", "Sn", "O"], "frac_coords": [[0.0000, 0.0000, 0.0000], [0.0000, 0.5000, 0.5000], [0.5000, 0.0000, 0.5000], [0.0000, 0.0000, 0.5000], [0.5000, 0.5000, 0.0000]], "e_tot_ev_per_cell": -26.601, "total_magnetization_mub_per_cell": 9.31, "spacegroup": "No. 123", "volume_a3_per_atom": 30.0}



# 16
{"formula": "YMn2SnO6", "functional": "PBE+U", "state": "relaxed", "cell": [[5.3917, 0.0000, 0.0000], [-2.6903, 4.6768, 0.0000], [-2.6768, -1.5540, 4.8849]], "species": ["Y", "Mn", "Mn", "Sn", "O", "O", "O", "O", "O", "O"], "frac_coords": [[0.0000, 0.0000, 0.0000], [0.5470, 0.2736, 0.8202], [0.5858, 0.7930, 0.3804], [0.9681, 0.4829, 0.4506], [0.0542, 0.1815, 0.6396], [0.1039, 0.4347, 0.1704], [0.4593, 0.8700, 0.6395], [0.5021, 0.0672, 0.1724], [0.7375, 0.6682, 0.1714], [0.7684, 0.5862, 0.6396]], "e_tot_ev_per_cell": -74.960, "total_magnetization_mub_per_cell": 7.00, "spacegroup": "No. 1", "volume_a3_per_atom": 12.3}



# 17
{"formula": "Y2MnSnO6", "functional": "PBE+U", "state": "relaxed", "cell": [[2.8232, 1.6300, 4.9255], [-2.8232, 1.6300, 4.9255], [0.0000, -3.2599, 4.9255]], "species": ["Y", "Y", "Mn", "Sn", "O", "O", "O", "O", "O", "O"], "frac_coords": [[0.0000, 0.0000, 0.0000], [0.4982, 0.4982, 0.4982], [0.2205, 0.2205, 0.2205], [0.7117, 0.7117, 0.7117], [0.0754, 0.4322, 0.8266], [0.3389, 0.9114, 0.5952], [0.4322, 0.8266, 0.0754], [0.5952, 0.3389, 0.9114], [0.8266, 0.0754, 0.4322], [0.9114, 0.5952, 0.3389]], "e_tot_ev_per_cell": -79.940, "total_magnetization_mub_per_cell": 5.00, "spacegroup": "No. 146", "volume_a3_per_atom": 13.6}



# 18
{"formula": "ZrMn2SnO6", "functional": "PBE+U", "state": "relaxed", "cell": [[2.7323, 1.5775, 4.8351], [-2.7323, 1.5775, 4.8351], [0.0000, -3.1550, 4.8351]], "species": ["Zr", "Mn", "Mn", "Sn", "O", "O", "O", "O", "O", "O"], "frac_coords": [[0.0000, 0.0000, 0.0000], [0.2150, 0.2150, 0.2150], [0.7195, 0.7195, 0.7195], [0.5028, 0.5028, 0.5028], [0.1286, 0.3872, 0.7855], [0.2882, 0.8842, 0.6241], [0.3872, 0.7855, 0.1286], [0.6241, 0.2882, 0.8842], [0.7855, 0.1286, 0.3872], [0.8842, 0.6241, 0.2882]], "e_tot_ev_per_cell": -78.648, "total_magnetization_mub_per_cell": 10.00, "spacegroup": "No. 146", "volume_a3_per_atom": 12.5}



# 19
{"formula": "Sr5MnO6", "functional": "PBE+U", "state": "relaxed", "cell": [[3.1194, -5.4206, 0.0000], [3.1194, 5.4206, 0.0000], [-2.0521, 0.0000, 5.8718]], "species": ["Sr", "Sr", "Sr", "Sr", "Sr", "Mn", "O", "O", "O", "O", "O", "O"], "frac_coords": [[0.0000, 0.0000, 0.0000], [0.1676, 0.8324, 0.5000], [0.3366, 0.6634, 0.0000], [0.6634, 0.3366, 0.0000], [0.8324, 0.1676, 0.5000], [0.5000, 0.5000, 0.5000], [0.0983, 0.4177, 0.2553], [0.2643, 0.2643, 0.7377], [0.4177, 0.0983, 0.2553], [0.5823, 0.9017, 0.7447], [0.7357, 0.7357, 0.2623], [0.9017, 0.5823, 0.7447]], "e_tot_ev_per_cell": -75.525, "total_magnetization_mub_per_cell": 5.00, "spacegroup": "No. 12", "volume_a3_per_atom": 16.5}



# 20
{"formula": "SrMn2O4", "functional": "PBE+U", "state": "relaxed", "cell": [[-3.5006, 3.5006, 3.7750], [3.5006, -3.5006, 3.7750], [3.5006, 3.5006, -3.7750]], "species": ["Sr", "Sr", "Mn", "Mn", "Mn", "Mn", "O", "O", "O", "O", "O", "O", "O", "O"], "frac_coords": [[0.3750, 0.6250, 0.7500], [0.6250, 0.3750, 0.2500], [0.0000, 0.0000, 0.0000], [0.0000, 0.0000, 0.5000], [0.0000, 0.5000, 0.0000], [0.5000, 0.0000, 0.5000], [0.1898, 0.7482, 0.4416], [0.1933, 0.2518, 0.9416], [0.2518, 0.1933, 0.4416], [0.2518, 0.8102, 0.0584], [0.7482, 0.1898, 0.9416], [0.7482, 0.8067, 0.5584], [0.8067, 0.7482, 0.0584], [0.8102, 0.2518, 0.5584]], "e_tot_ev_per_cell": -99.182, "total_magnetization_mub_per_cell": 16.00, "de_polymorph_ev_per_atom": 0.000, "spacegroup": "No. 141", "volume_a3_per_atom": 13.2}